Crystalline Tb5Er12Mg2 at its relaxed geometry. Source: Alexandria via LeMat-Bulk, functional PBE-GGA.

Output
total magnetization	0.000	μB per formula unit
ρ	8.07	Mg/m³
calculated formation energy	10	kJ/mol of atoms

```
Tb5Er12Mg2
1.0
7.795 -4.555 0.000
7.795 4.555 0.000
-0.101 0.000 8.259
Tb Er Mg
5 12 2
direct
0.000 0.000 0.000
0.235 0.235 0.078
0.299 0.299 0.490
0.701 0.701 0.510
0.765 0.765 0.922
0.032 0.665 0.256
0.086 0.086 0.389
0.181 0.568 0.833
0.335 0.968 0.744
0.432 0.819 0.167
0.443 0.443 0.168
0.557 0.557 0.832
0.568 0.181 0.833
0.665 0.032 0.256
0.819 0.432 0.167
0.914 0.914 0.611
0.968 0.335 0.744
0.327 0.673 0.500
0.673 0.327 0.500
```